TmSiAu | PBE | optimized geometry

```
data_TmSiAu
_symmetry_space_group_name_H-M 'P m m n'
_symmetry_Int_Tables_number 59
_cell_length_a 4.323
_cell_length_b 14.101
_cell_length_c 7.602
_cell_angle_alpha 90.00
_cell_angle_beta 90.00
_cell_angle_gamma 90.00
loop_
_symmetry_equiv_pos_as_xyz
'x,y,z'
'-x,-y,-z'
'-x+1/2,-y+1/2,z'
'x+1/2,y+1/2,-z'
'x+1/2,-y,-z'
'-x+1/2,y,z'
'-x,y+1/2,-z'
'x,-y+1/2,z'
loop_
_atom_site_label
_atom_site_fract_x
_atom_site_fract_y
_atom_site_fract_z
Tm1 0.250 0.002 0.217
Tm2 0.250 0.250 0.295
Tm3 0.250 0.750 0.294
Si1 0.250 0.155 0.908
Si2 0.250 0.612 0.593
Au1 0.250 0.100 0.586
Au2 0.250 0.639 0.925
```

Theoretical density = 11.29 g cm⁻³
Formation energy from raw total energies = -0.774 eV per atom